The following is a GGA-PBE calculation of CsTaMo3 after structural relaxation, from Alexandria via LeMat-Bulk.

Structure (extended XYZ):
```
5
Lattice="4.831 0.000 0.000 0.000 4.831 0.000 0.000 0.000 4.831" Properties=species:S:1:pos:R:3 pbc="T T T"
Cs 0.000 0.000 0.000
Mo 0.000 2.415 0.000
Mo 0.000 0.000 2.415
Mo 2.415 0.000 0.000
Ta 2.415 2.415 2.415
```

symmetry: Pm-3m, No. 221
ΔE to the lowest computed polymorph: 1177 meV/atom
spin magnetization: 0.000 μB per cell
volume: 112.7 Å³ per cell

=====

The following is a GGA-PBE calculation of CsTa2Mo after structural relaxation, from Alexandria via LeMat-Bulk.

Structure (extended XYZ):
```
8
Lattice="5.580 0.000 0.000 0.000 5.580 0.000 2.790 2.790 8.342" Properties=species:S:1:pos:R:3 pbc="T T T"
Cs 0.000 0.000 0.000
Cs 5.580 2.790 4.171
Mo 2.790 2.790 0.000
Mo 2.790 5.580 4.171
Ta 3.088 1.395 2.085
Ta 2.492 4.185 2.085
Ta 4.185 5.282 6.256
Ta 6.975 5.878 6.256
```

symmetry: I-42d, No. 122
ΔE to the lowest computed polymorph: 233 meV/atom
spin magnetization: 0.003 μB per cell
volume: 259.7 Å³ per cell

=====

The following is a GGA-PBE calculation of CsY2TaMo after structural relaxation, from Alexandria via LeMat-Bulk.

Structure (extended XYZ):
```
5
Lattice="5.460 0.000 0.000 0.000 4.943 0.000 0.000 0.000 5.460" Properties=species:S:1:pos:R:3 pbc="T T T"
Cs 0.000 0.000 0.000
Y 0.000 0.000 2.730
Y 2.730 0.000 0.000
Mo 0.000 2.471 0.000
Ta 2.730 2.471 2.730
```

symmetry: P4/mmm, No. 123
total energy: -4.914 eV/atom
spin magnetization: 3.620 μB per cell
volume: 147.3 Å³ per cell

=====

The following is a GGA-PBE calculation of CsTc3Mo after structural relaxation, from Alexandria via LeMat-Bulk.

Structure (extended XYZ):
```
5
Lattice="-2.072 4.179 1.035 -4.300 -1.949 -0.737 -0.223 -1.252 4.606" Properties=species:S:1:pos:R:3 pbc="T T T"
Cs 0.000 0.000 0.000
Mo -3.297 0.490 2.452
Tc -2.150 -0.974 -0.369
Tc -0.111 -0.626 2.303
Tc -1.036 2.090 0.518
```

symmetry: Pm-3m, No. 221
ΔE to the lowest computed polymorph: 1626 meV/atom
spin magnetization: 0.002 μB per cell
volume: 109.1 Å³ per cell

=====

The following is a GGA-PBE calculation of Cs3TcMo after structural relaxation, from Alexandria via LeMat-Bulk.

Structure (extended XYZ):
```
5
Lattice="-1.314 -5.831 -0.848 5.648 -1.494 1.522 -1.680 -0.462 5.780" Properties=species:S:1:pos:R:3 pbc="T T T"
Cs 2.824 -0.747 0.761
Cs -0.840 -0.231 2.890
Cs -0.657 -2.916 -0.424
Mo 1.327 -3.894 3.227
Tc 0.000 0.000 0.000
```

symmetry: Pm-3m, No. 221
total energy: -2.725 eV/atom
spin magnetization: 5.494 μB per cell
volume: 220.0 Å³ per cell

=====

The following is a GGA-PBE calculation of CsTc3Mo after structural relaxation, from Alexandria via LeMat-Bulk.

Structure (extended XYZ):
```
5
Lattice="4.873 0.000 0.000 0.000 4.873 0.000 0.000 0.000 4.873" Properties=species:S:1:pos:R:3 pbc="T T T"
Cs 2.436 2.436 2.436
Mo 0.000 0.000 0.000
Tc 0.000 2.436 0.000
Tc 0.000 0.000 2.436
Tc 2.436 0.000 0.000
```

symmetry: Pm-3m, No. 221
ΔE to the lowest computed polymorph: 0 meV/atom
spin magnetization: 4.493 μB per cell
volume: 115.7 Å³ per cell

=====

The following is a GGA-PBE calculation of CsZnTcMo2 after structural relaxation, from Alexandria via LeMat-Bulk.

Structure (extended XYZ):
```
5
Lattice="-1.707 0.669 -4.422 2.525 -6.161 -1.907 -4.118 -2.082 1.275" Properties=species:S:1:pos:R:3 pbc="T T T"
Cs 1.262 -3.081 -0.954
Zn -1.651 -3.787 -2.527
Mo -2.059 -1.041 0.637
Mo -0.854 0.335 -2.211
Tc 0.000 0.000 0.000
```

symmetry: P4/mmm, No. 123
total energy: -5.068 eV/atom
spin magnetization: 3.201 μB per cell
volume: 158.8 Å³ per cell

=====

The following is a GGA-PBE calculation of Cs3Te17Mo15 after structural relaxation, from Alexandria via LeMat-Bulk.

Structure (extended XYZ):
```
70
Lattice="-3.255 -7.024 -6.992 1.743 -2.888 9.871 -20.672 4.607 4.997" Properties=species:S:1:pos:R:3 pbc="T T T"
Cs -13.159 2.933 3.181
Cs -5.091 -3.115 5.499
Cs -17.848 3.978 4.315
Cs -7.512 1.674 1.816
Cs -17.093 -2.190 2.377
Cs -2.824 0.629 0.683
Te -18.265 0.295 5.419
Te -8.594 -1.006 -0.753
Te -8.361 -4.610 3.531
Te -10.750 1.249 5.768
Te -20.731 -2.268 7.080
Te -14.794 -1.397 11.156
Te -20.876 -1.347 3.292
Te -5.538 -7.369 -2.606
Te -3.919 -5.600 2.458
Te -18.033 -3.308 9.703
Te -19.094 -0.458 12.185
Te -12.145 -4.181 5.004
Te -7.390 -3.908 -3.279
Te -16.647 2.064 10.483
Te -5.745 -2.062 1.823
Te -11.435 -6.554 2.109
Te -4.152 -1.996 -1.826
Te -12.205 1.074 9.409
Te -15.048 2.205 6.785
Te -11.677 -2.933 -2.232
Te -2.848 -8.467 0.033
Te -10.507 -2.372 10.109
Te -8.874 -2.272 6.414
Te -7.136 -7.510 1.092
Te -3.091 -4.846 -4.308
Te -1.308 -3.958 4.585
Te -13.310 -3.033 1.463
Te -9.980 -6.379 -1.532
Te -19.337 3.163 7.843
Te -16.439 -3.242 6.054
Te -13.590 -4.298 8.629
Te -1.453 -3.037 0.797
Te -13.823 -0.695 4.345
Te -10.040 -1.123 2.873
Mo -18.112 -1.457 7.581
Mo -17.440 1.125 7.982
Mo -14.953 0.322 8.915
Mo -7.232 -5.627 -1.038
Mo -6.463 -4.775 1.356
Mo -12.931 -1.611 8.964
Mo -9.149 -5.448 0.960
Mo -19.348 1.314 9.965
Mo -8.477 -2.866 1.361
Mo -19.997 -1.243 9.638
Mo -10.853 -3.779 2.423
Mo -15.722 -0.529 6.520
Mo -11.331 -1.525 5.454
Mo -2.063 -5.738 0.298
Mo -2.836 -6.619 -2.089
Mo -9.253 -3.694 -1.087
Mo -10.978 -2.102 0.364
Mo -6.578 -3.078 -0.682
Mo -4.072 -3.847 0.296
Mo -20.121 0.434 7.579
Mo -4.744 -6.430 -0.105
Mo -4.848 -4.675 -2.152
Mo -11.207 -3.202 7.513
Mo -11.627 -4.660 0.036
Mo -13.035 0.144 6.917
Mo -10.558 -0.645 7.840
Mo -15.607 -2.226 8.559
Mo -2.187 -4.061 -1.761
Mo -17.336 -0.629 10.029
Mo -13.708 -2.439 6.516
```

symmetry: P6_3/m, No. 176
spin magnetization: 0.000 μB per cell
raw formation energy: -0.424 eV per atom
volume: 2050.6 Å³ per cell

=====

The following is a GGA-PBE calculation of CsTe7Mo6 after structural relaxation, from Alexandria via LeMat-Bulk.

Structure (extended XYZ):
```
28
Lattice="-1.545 -9.311 4.498 7.891 -6.826 0.680 4.308 -2.067 9.300" Properties=species:S:1:pos:R:3 pbc="T T T"
Cs 6.603 -11.281 8.973
Cs 4.052 -6.923 5.506
Te 6.388 -9.775 3.989
Te 6.555 -6.092 8.496
Te 1.890 -9.477 7.673
Te 4.266 -8.429 10.490
Te 4.099 -12.112 5.983
Te 8.765 -8.727 6.805
Te 7.831 -13.081 5.792
Te 8.826 -8.624 10.664
Te 3.141 -12.122 10.449
Te 2.823 -5.123 8.687
Te 1.829 -9.581 3.815
Te 7.513 -6.082 4.030
Te 8.260 -14.113 11.225
Te 2.394 -4.091 3.254
Mo 5.862 -12.632 3.798
Mo 9.402 -6.674 8.685
Mo 1.701 -9.680 10.571
Mo 4.792 -5.572 10.681
Mo 1.253 -11.531 5.794
Mo 8.954 -8.524 3.908
Mo 5.436 -14.567 5.820
Mo 10.781 -9.145 8.702
Mo 3.675 -10.276 12.510
Mo 5.219 -3.638 8.659
Mo -0.127 -9.059 5.777
Mo 6.979 -7.929 1.969
```

symmetry: R-3, No. 148
spin magnetization: 0.000 μB per cell
raw formation energy: -0.399 eV per atom
volume: 810.9 Å³ per cell

=====

The following is a GGA-PBE calculation of CsTe3Mo after structural relaxation, from Alexandria via LeMat-Bulk.

Structure (extended XYZ):
```
5
Lattice="-1.299 1.701 -5.059 -3.073 -4.496 -0.723 -4.365 2.659 2.015" Properties=species:S:1:pos:R:3 pbc="T T T"
Cs -4.368 -0.068 -1.884
Mo 0.000 0.000 0.000
Te -1.536 -2.248 -0.361
Te -2.182 1.329 1.007
Te -0.650 0.851 -2.530
```

symmetry: Pm-3m, No. 221
ΔE to the lowest computed polymorph: 0 meV/atom
spin magnetization: 0.002 μB per cell
raw formation energy: -0.100 eV per atom
volume: 165.8 Å³ per cell

=====

The following is a GGA-PBE calculation of CsTe3Mo after structural relaxation, from Alexandria via LeMat-Bulk.

Structure (extended XYZ):
```
5
Lattice="-0.521 0.105 -6.336 2.656 -5.769 -0.314 -5.754 -2.673 0.428" Properties=species:S:1:pos:R:3 pbc="T T T"
Cs 0.000 0.000 0.000
Mo -1.809 -4.168 -3.111
Te 1.328 -2.884 -0.157
Te -2.877 -1.336 0.214
Te -0.260 0.052 -3.168
```

symmetry: Pm-3m, No. 221
ΔE to the lowest computed polymorph: 1863 meV/atom
spin magnetization: 2.901 μB per cell
raw formation energy: 1.763 eV per atom
volume: 257.1 Å³ per cell

=====

The following is a GGA-PBE calculation of Cs3Te13Mo12 after structural relaxation, from Alexandria via LeMat-Bulk.

Structure (extended XYZ):
```
56
Lattice="-8.884 2.453 16.433 -8.469 -7.852 14.887 -0.149 -2.802 18.631" Properties=species:S:1:pos:R:3 pbc="T T T"
Cs -4.648 -2.178 13.266
Cs -12.854 -6.023 36.685
Cs -6.217 -2.913 17.743
Cs -11.285 -5.288 32.208
Cs -7.794 -3.652 22.245
Cs -9.708 -4.549 27.706
Te -5.626 -2.661 25.322
Te -8.655 -7.231 23.510
Te -11.072 -1.987 23.524
Te -11.876 -5.540 24.629
Te -8.847 -0.970 26.441
Te -6.430 -6.214 26.427
Te -10.785 -5.558 20.683
Te -7.953 0.202 22.621
Te -4.460 -5.514 22.906
Te -6.717 -2.643 29.268
Te -9.549 -8.403 27.330
Te -13.042 -2.687 27.045
Te -4.163 -2.007 21.061
Te -7.192 -6.489 19.264
Te -9.536 -1.293 19.296
Te -13.339 -6.194 28.890
Te -10.310 -1.712 30.687
Te -7.966 -6.908 30.655
Te -9.494 -7.620 34.962
Te -14.847 -6.885 33.207
Te -11.809 -2.433 35.002
Te -8.008 -0.581 14.989
Te -2.656 -1.316 16.744
Te -5.693 -5.768 14.949
Te -3.388 -1.587 9.668
Te -14.115 -6.614 40.283
Mo -2.861 0.267 7.728
Mo -1.301 -1.870 7.924
Mo -3.781 -2.118 7.014
Mo -14.641 -8.468 42.223
Mo -16.202 -6.331 42.027
Mo -13.722 -6.083 42.937
Mo -3.401 -3.023 23.669
Mo -9.194 -7.872 20.843
Mo -10.588 0.032 21.652
Mo -14.101 -5.178 26.282
Mo -8.308 -0.329 29.108
Mo -6.914 -8.233 28.299
Mo -9.826 -6.877 18.309
Mo -8.673 1.292 20.054
Mo -2.420 -4.217 21.340
Mo -7.677 -1.324 31.642
Mo -8.829 -9.493 29.897
Mo -15.082 -3.984 28.611
Mo -1.882 -2.356 19.321
Mo -7.710 -7.133 16.495
Mo -9.029 0.763 17.329
Mo -15.620 -5.845 30.630
Mo -9.792 -1.068 33.456
Mo -8.473 -8.964 32.622
```

symmetry: R-3, No. 148
spin magnetization: 0.000 μB per cell
raw formation energy: -0.466 eV per atom
volume: 1681.6 Å³ per cell

=====

Question: Which formula does entry 5 have?
Answer: Cs3TcMo

=====

Question: Which value of volume does entry 9 give?
Answer: 810.9 Å³ per cell

=====

Question: Number 12 is which compound?
Answer: Cs3Te13Mo12